Entry 1:
Here is crystalline Mn2FeP2 at its relaxed geometry from the Alexandria database. Energies are from PBE.

VASP energy   -7.8566 eV/atom
ρ   6502 kg/m³
Energy of formation from the pure elements   -1.662 eV per formula unit
Magnetization   6.0 μB per formula unit

Geometry as extended XYZ:
```
10
Lattice="5.981 0.000 0.000 0.000 5.981 0.000 0.000 0.000 3.251" Properties=species:S:1:pos:R:3 pbc="T T T"
P 0.859 2.132 0.000
P 5.122 3.849 0.000
Mn 3.920 5.052 1.625
Fe 2.991 2.991 0.000
Fe 0.000 0.000 0.000
P 2.132 5.122 0.000
Mn 0.929 3.920 1.625
Mn 5.052 2.061 1.625
P 3.849 0.859 0.000
Mn 2.061 0.929 1.625
```

Entry 2:
Here is crystalline NaCa3Ge at its relaxed geometry from the Alexandria database. Energies are from PBE.

VASP energy   -1.7997 eV/atom
ρ   1911 kg/m³
Energy of formation from the pure elements   2.943 eV per formula unit
Magnetization   0.0 μB per formula unit

Geometry as extended XYZ:
```
5
Lattice="5.725 0.000 0.000 0.000 5.725 0.000 0.000 0.000 5.725" Properties=species:S:1:pos:R:3 pbc="T T T"
Ca 2.862 0.000 0.000
Ge 2.862 2.862 2.862
Na 0.000 0.000 0.000
Ca 0.000 0.000 2.862
Ca 0.000 2.862 0.000
```

Entry 3:
Here is crystalline Er3Br3N at its relaxed geometry from the Alexandria database. Energies are from PBE.

VASP energy   -5.4141 eV/atom
ρ   6851 kg/m³
Magnetization   0.0 μB per formula unit
Energy relative to the elements, uncorrected   -1.552 eV/atom

Geometry as extended XYZ:
```
14
Lattice="-4.369 -1.990 4.189 -2.271 -5.943 -0.346 5.366 -5.911 7.635" Properties=species:S:1:pos:R:3 pbc="T T T"
Br 0.072 -9.550 6.821
Br -3.560 -6.988 5.913
N 3.152 -8.556 8.916
Br -1.346 -4.294 4.657
Br 2.286 -6.856 5.565
Er -4.164 -7.641 3.163
Br -1.372 -7.602 2.986
N -4.427 -5.289 2.562
Er 2.890 -6.203 8.315
Er 2.949 -9.362 6.620
Er -4.224 -4.482 4.858
Br 0.097 -6.242 8.492
Er -2.065 -4.962 2.036
Er 0.790 -8.882 9.442
```

Entry 4:
Here is crystalline ScNiAg2 at its relaxed geometry from the Alexandria database. Energies are from PBE.

VASP energy   -4.4822 eV/atom
ρ   7755 kg/m³
Energy of formation from the pure elements   -0.113 eV per formula unit
Magnetization   0.0 μB per formula unit

Geometry as extended XYZ:
```
4
Lattice="4.494 0.000 0.000 0.000 2.954 0.009 0.000 1.411 5.156" Properties=species:S:1:pos:R:3 pbc="T T T"
Ag 0.000 0.269 0.085
Ag 0.000 1.913 2.497
Ni 2.247 1.091 1.291
Sc 2.247 3.273 3.874
```

Entry 5:
Here is crystalline RbSrZn2Pd at its relaxed geometry from the Alexandria database. Energies are from PBE.

VASP energy   -2.1826 eV/atom
ρ   4516 kg/m³
Energy of formation from the pure elements   -0.523 eV per formula unit
Magnetization   0.0 μB per formula unit

Geometry as extended XYZ:
```
5
Lattice="-5.058 0.970 -0.731 -0.983 -5.108 0.025 -0.764 0.174 5.520" Properties=species:S:1:pos:R:3 pbc="T T T"
Zn -2.529 0.485 -0.366
Zn -0.491 -2.554 0.013
Rb -3.403 -1.982 2.407
Pd 0.000 0.000 0.000
Sr -0.382 0.087 2.760
```

> Which of these has the highest ρ?

ScNiAg2

> Among the records above, which one has the highest VASP energy?

NaCa3Ge